Record 1
NaZrFe3 | PBEsol | optimized geometry

Results
DFT formation energy: 1.468 eV/atom
SG: Pm-3m, No. 221

Cell: 4.625 4.625 4.625 Å, 90.00 90.00 90.00°
Element x y z (fractional)
Na 0.000 0.000 0.000
Zr 0.500 0.500 0.500
Fe 0.000 0.500 0.500
Fe 0.500 0.000 0.500
Fe 0.500 0.500 0.000

Record 2
Nb2FeO6 | PBEsol | optimized geometry

Results
SG: Pbcn, No. 60
Uncorrected formation energy: -19.2 eV/f.u.

Cell: 13.607 5.627 5.147 Å, 90.00 90.00 90.00°
Element x y z (fractional)
Nb 0.157 0.166 0.059
Nb 0.157 0.834 0.559
Nb 0.343 0.334 0.559
Nb 0.343 0.666 0.059
Nb 0.657 0.334 0.941
Nb 0.657 0.666 0.441
Nb 0.843 0.166 0.441
Nb 0.843 0.834 0.941
Fe 0.000 0.363 0.250
Fe 0.000 0.637 0.750
Fe 0.500 0.137 0.750
Fe 0.500 0.863 0.250
O 0.073 0.405 0.929
O 0.073 0.595 0.429
O 0.085 0.111 0.387
O 0.085 0.889 0.887
O 0.242 0.127 0.726
O 0.242 0.873 0.226
O 0.258 0.373 0.226
O 0.258 0.627 0.726
O 0.415 0.389 0.887
O 0.415 0.611 0.387
O 0.427 0.095 0.429
O 0.427 0.905 0.929
O 0.573 0.095 0.071
O 0.573 0.905 0.571
O 0.585 0.389 0.613
O 0.585 0.611 0.113
O 0.742 0.373 0.274
O 0.742 0.627 0.774
O 0.758 0.127 0.774
O 0.758 0.873 0.274
O 0.915 0.111 0.113
O 0.915 0.889 0.613
O 0.927 0.405 0.571
O 0.927 0.595 0.071

Record 3
NbFeO4 | PBEsol | optimized geometry

Results
SG: P2, No. 3
Uncorrected formation energy: -11.5 eV/f.u.

Cell: 4.619 5.586 9.984 Å, 90.00 90.34 90.00°
Element x y z (fractional)
Nb 0.000 0.000 0.000
Nb 0.004 0.640 0.246
Nb 0.500 0.450 0.500
Nb 0.996 0.640 0.754
Fe 0.000 0.960 0.500
Fe 0.497 0.127 0.741
Fe 0.500 0.472 0.000
Fe 0.503 0.127 0.259
O 0.220 0.931 0.657
O 0.228 0.700 0.420
O 0.231 0.923 0.165
O 0.232 0.697 0.914
O 0.254 0.186 0.424
O 0.269 0.425 0.168
O 0.273 0.196 0.913
O 0.277 0.427 0.668
O 0.723 0.427 0.332
O 0.727 0.196 0.087
O 0.731 0.425 0.832
O 0.746 0.186 0.576
O 0.768 0.697 0.086
O 0.769 0.923 0.835
O 0.772 0.700 0.580
O 0.780 0.931 0.343

Record 4
Nb3FeO | PBEsol | optimized geometry

Results
SG: Pm-3m, No. 221
Uncorrected formation energy: -2.5 eV/f.u.

Cell: 4.177 4.177 4.177 Å, 90.00 90.00 90.00°
Element x y z (fractional)
Nb 0.000 0.000 0.500
Nb 0.000 0.500 0.000
Nb 0.500 0.000 0.000
Fe 0.500 0.500 0.500
O 0.000 0.000 0.000

Record 5
NbFeO4 | PBEsol | optimized geometry

Results
SG: Pnc2, No. 30
Uncorrected formation energy: -11.5 eV/f.u.

Cell: 4.960 4.699 5.647 Å, 90.00 90.00 90.00°
Element x y z (fractional)
Nb 0.000 0.000 0.000
Nb 0.000 0.500 0.500
Fe 0.500 0.000 0.625
Fe 0.500 0.500 0.125
O 0.173 0.226 0.697
O 0.173 0.274 0.197
O 0.320 0.729 0.419
O 0.320 0.771 0.919
O 0.680 0.229 0.919
O 0.680 0.271 0.419
O 0.827 0.726 0.197
O 0.827 0.774 0.697

Record 6
NbFeO4 | PBEsol | optimized geometry

Results
SG: I-4m2, No. 119
Uncorrected formation energy: -11.3 eV/f.u.

Cell: 5.678 5.678 5.678 Å, 140.13 140.13 57.65°
Element x y z (fractional)
Nb 0.000 0.000 0.000
Fe 0.750 0.250 0.500
O 0.203 0.203 0.000
O 0.540 0.040 0.500
O 0.797 0.797 0.000
O 0.960 0.460 0.500

Record 7
NbFeO4 | PBEsol | optimized geometry

Results
SG: C2/m, No. 12
Uncorrected formation energy: -11.6 eV/f.u.

Cell: 6.582 6.582 6.685 Å, 106.60 106.60 34.03°
Element x y z (fractional)
Nb 0.105 0.105 0.228
Nb 0.895 0.895 0.772
Fe 0.195 0.195 0.809
Fe 0.805 0.805 0.191
O 0.055 0.055 0.867
O 0.138 0.138 0.515
O 0.255 0.255 0.147
O 0.365 0.365 0.799
O 0.635 0.635 0.201
O 0.745 0.745 0.853
O 0.862 0.862 0.485
O 0.945 0.945 0.133

Record 8
Nb3FeP6O24 | PBEsol | optimized geometry

Results
SG: R3, No. 146
Uncorrected formation energy: -76.4 eV/f.u.

Cell: 8.916 8.916 8.916 Å, 57.59 57.59 57.59°
Element x y z (fractional)
Nb 0.000 0.000 0.000
Nb 0.215 0.215 0.215
Nb 0.496 0.496 0.496
Fe 0.712 0.712 0.712
P 0.088 0.826 0.404
P 0.343 0.603 0.886
P 0.404 0.088 0.826
P 0.603 0.886 0.343
P 0.826 0.404 0.088
P 0.886 0.343 0.603
O 0.070 0.290 0.439
O 0.093 0.850 0.216
O 0.133 0.992 0.364
O 0.169 0.787 0.906
O 0.216 0.093 0.850
O 0.259 0.642 0.445
O 0.290 0.439 0.070
O 0.359 0.572 0.723
O 0.364 0.133 0.992
O 0.439 0.070 0.290
O 0.445 0.259 0.642
O 0.522 0.601 0.868
O 0.564 0.902 0.824
O 0.572 0.723 0.359
O 0.601 0.868 0.522
O 0.642 0.445 0.259
O 0.723 0.359 0.572
O 0.787 0.906 0.169
O 0.824 0.564 0.902
O 0.850 0.216 0.093
O 0.868 0.522 0.601
O 0.902 0.824 0.564
O 0.906 0.169 0.787
O 0.992 0.364 0.133

no.,density (g/cm3),magnetic moment (μB per formula unit)
1,4.73,5.92
2,5.69,0.00
3,5.49,3.66
4,7.99,2.45
5,5.37,5.01
6,4.74,4.71
7,4.57,4.99
8,3.17,1.00